The following is a PBE calculation of a relaxed SmHo2Mg8 crystal, from Alexandria via LeMat-Bulk.

abc: 15.9798 5.0468 7.3246
angles: 90.00 108.50 90.00
With the nearest neighbours (Å) after each atom.
Space group C2/m (No. 12)
Asymmetric unit:
Sm 0.0000 0.0000 0.0000 [2 per cell]  12 Mg 3.19-3.38
Ho 0.2212 0.5000 0.6370 [4 per cell]  10 Mg 3.27-3.37, 2 Ho 3.52
Mg 0.0273 0.5000 0.7180 [4 per cell]  5 Mg 3.03-3.18, 1 Ho 3.33, 2 Sm 3.38
Mg 0.0897 0.0000 0.4677 [4 per cell]  4 Mg 3.01-3.18, 3 Ho 3.27-3.35, 1 Sm 3.27
Mg 0.1419 0.5000 0.1561 [4 per cell]  5 Mg 3.00-3.32, 2 Sm 3.34, 1 Ho 3.34
Mg 0.1794 0.0000 0.8971 [4 per cell]  4 Mg 3.00-3.32, 1 Sm 3.19, 3 Ho 3.28-3.35

Formation enthalpy at 0 K: -0.04 eV per atom

=====

The following is a PBE calculation of a relaxed Sm4HoMg crystal, from Alexandria via LeMat-Bulk.

abc: 10.6717 6.1815 11.9972
angles: 90.00 107.23 90.00
With the nearest neighbours (Å) after each atom.
Space group C2/c (No. 15)
Asymmetric unit:
Sm 0.0813 0.2436 0.4989 [8 per cell]  7 Sm 3.48-3.62, 2 Mg 3.50-3.51, 3 Ho 3.54-3.61
Sm 0.1680 0.4207 0.2501 [8 per cell]  2 Ho 3.51-3.53, 7 Sm 3.53-3.58, 3 Mg 3.54-3.60
Ho 0.2500 0.2500 0.0000 [4 per cell]  10 Sm 3.51-3.61, 2 Mg 3.53
Mg 0.0000 0.0838 0.7500 [4 per cell]  10 Sm 3.50-3.60, 2 Ho 3.53

Energy relative to the lowest polymorph listed for this composition: 31 meV per atom
Formation enthalpy at 0 K: 0.01 eV per atom

=====

The following is a PBE calculation of a relaxed Sm15Ho2Mg2 crystal, from Alexandria via LeMat-Bulk.

abc: 11.2437 11.2437 17.4862
angles: 90.00 90.00 120.00
With the nearest neighbours (Å) after each atom.
Space group R-3m (No. 166, hexagonal axes)
Asymmetric unit:
Sm 0.0000 0.2973 0.0000 [18 per cell]  6 Sm 3.34-3.38, 2 Mg 3.72
Sm 0.0000 0.5000 0.5000 [9 per cell]  8 Sm 3.35-3.38, 2 Mg 3.49
Sm 0.0140 0.5070 0.1402 [18 per cell]  6 Sm 3.24-3.35
Ho 0.0000 0.0000 0.3191 [6 per cell]  1 Mg 3.96, 15 Sm 3.97-4.20
Mg 0.0000 0.0000 0.0929 [6 per cell]  1 Mg 3.25, 3 Sm 3.49

Formation enthalpy at 0 K: 0.23 eV per atom

=====

The following is a PBE calculation of a relaxed Sm5Ho2Mg5 crystal, from Alexandria via LeMat-Bulk.

abc: 17.0937 3.6764 12.2424
angles: 90.00 114.48 90.00
With the nearest neighbours (Å) after each atom.
Space group C2/m (No. 12)
Asymmetric unit:
Sm 0.0000 0.0000 0.0000 [2 per cell]  4 Mg 3.47, 4 Ho 3.50, 4 Sm 3.66-3.68
Sm 0.0593 0.0000 0.7447 [4 per cell]  6 Mg 3.30-3.45, 2 Ho 3.54, 3 Sm 3.66-3.68
Sm 0.1680 0.0000 0.5242 [4 per cell]  4 Mg 3.32-3.39, 3 Ho 3.51-3.52, 4 Sm 3.60-3.68
Ho 0.1185 0.5000 0.2591 [4 per cell]  3 Mg 3.32-3.64, 7 Sm 3.50-3.54, 2 Ho 3.68
Mg 0.0000 0.5000 0.5000 [2 per cell]  8 Sm 3.30-3.32, 2 Mg 3.68
Mg 0.1721 0.5000 0.0008 [4 per cell]  5 Mg 3.10-3.28, 4 Sm 3.45-3.47
Mg 0.2330 0.5000 0.7798 [4 per cell]  3 Mg 3.10-3.28, 2 Ho 3.32, 4 Sm 3.36-3.39

Energy relative to the lowest polymorph listed for this composition: 0 meV per atom
Formation enthalpy at 0 K: -0.04 eV per atom

=====

The following is a PBE calculation of a relaxed Sm3Ho12Mg crystal, from Alexandria via LeMat-Bulk.

abc: 4.9874 4.9874 19.9910
angles: 90.00 90.00 90.00
With the nearest neighbours (Å) after each atom.
Space group P4/mmm (No. 123)
Asymmetric unit:
Sm 0.0000 0.0000 0.0000 [1 per cell]  12 Ho 3.53-3.55
Sm 0.0000 0.0000 0.2520 [2 per cell]  12 Ho 3.53-3.54
Ho 0.0000 0.5000 0.1265 [4 per cell]  8 Ho 3.53-3.58, 4 Sm 3.54-3.55
Ho 0.0000 0.5000 0.3778 [4 per cell]  8 Ho 3.49-3.53, 2 Mg 3.49, 2 Sm 3.54
Ho 0.5000 0.5000 0.0000 [1 per cell]  4 Sm 3.53, 8 Ho 3.55
Ho 0.5000 0.5000 0.2550 [2 per cell]  8 Ho 3.50-3.58, 4 Sm 3.53
Ho 0.5000 0.5000 0.5000 [1 per cell]  8 Ho 3.49, 4 Mg 3.53
Mg 0.0000 0.0000 0.5000 [1 per cell]  12 Ho 3.49-3.53

Formation enthalpy at 0 K: 0.02 eV per atom

=====

The following is a PBE calculation of a relaxed Sm9HoMg2 crystal, from Alexandria via LeMat-Bulk.

abc: 5.0151 5.0151 15.1240
angles: 90.00 90.00 90.00
With the nearest neighbours (Å) after each atom.
Space group P4/mmm (No. 123)
Asymmetric unit:
Sm 0.0000 0.0000 0.0000 [1 per cell]  4 Ho 3.55, 8 Sm 3.59
Sm 0.0000 0.0000 0.3358 [2 per cell]  8 Sm 3.53-3.55, 4 Mg 3.55
Sm 0.0000 0.5000 0.1696 [4 per cell]  8 Sm 3.55-3.59, 2 Mg 3.56, 2 Ho 3.59
Sm 0.0000 0.5000 0.5000 [2 per cell]  4 Mg 3.52, 8 Sm 3.53-3.55
Ho 0.5000 0.5000 0.0000 [1 per cell]  12 Sm 3.55-3.59
Mg 0.5000 0.5000 0.3370 [2 per cell]  12 Sm 3.52-3.56

Formation enthalpy at 0 K: 0.01 eV per atom